A geometry-optimized Y4Ho3 structure. Source: Alexandria via LeMat-Bulk, functional PBE.

Energy of formation from the pure elements = 85 kJ/mol of formula units
Energy above the most stable polymorph in this dataset = 68 kJ/mol of formula units
Calculated volume = 448.9 Å³ per cell
E = -5.530 eV/atom

```
data_Y4Ho3
_chemical_formula_sum 'Y8 Ho6'
_cell_length_a 9.450
_cell_length_b 5.888
_cell_length_c 9.027
_cell_angle_alpha 90.00
_cell_angle_beta 116.67
_cell_angle_gamma 90.00
_space_group_name_H-M_alt 'C 1 2/m 1'
_space_group_IT_number 12
_space_group_name_Hall '-C 2y'
loop_
_atom_site_label
_atom_site_fract_x
_atom_site_fract_y
_atom_site_fract_z
Y1 0.142 0.000 0.427
Y2 0.214 0.500 0.143
Ho1 0.000 0.000 0.000
Ho2 0.072 0.500 0.714
```

=====

A geometry-optimized Zn2CoPt structure. Source: Alexandria via LeMat-Bulk, functional PBE.

Energy of formation from the pure elements = -84 kJ/mol of formula units
Calculated volume = 109.5 Å³ per cell
E = -4.142 eV/atom

```
data_Zn2CoPt
_chemical_formula_sum 'Zn4 Co2 Pt2'
_cell_length_a 9.659
_cell_length_b 2.736
_cell_length_c 4.538
_cell_angle_alpha 90.00
_cell_angle_beta 114.08
_cell_angle_gamma 90.00
_space_group_name_H-M_alt 'C 1 m 1'
_space_group_IT_number 8
_space_group_name_Hall 'C -2y'
loop_
_atom_site_label
_atom_site_fract_x
_atom_site_fract_y
_atom_site_fract_z
Zn1 0.000 0.000 0.000
Zn2 0.237 0.000 0.585
Co1 0.245 0.500 0.079
Pt1 0.485 0.000 0.490
```

=====

A geometry-optimized InIN2F structure. Source: Alexandria via LeMat-Bulk, functional PBE.

Energy above the most stable polymorph in this dataset = 73 kJ/mol of formula units
Calculated volume = 85.2 Å³ per cell
E = -3.594 eV/atom
Formation energy from raw total energies = 0.968 eV/atom

```
data_InIN2F
_chemical_formula_sum 'In1 I1 N2 F1'
_cell_length_a 4.101
_cell_length_b 4.101
_cell_length_c 5.065
_cell_angle_alpha 90.00
_cell_angle_beta 90.00
_cell_angle_gamma 90.00
_space_group_name_H-M_alt 'P 4/m m m'
_space_group_IT_number 123
_space_group_name_Hall '-P 4 2'
loop_
_atom_site_label
_atom_site_fract_x
_atom_site_fract_y
_atom_site_fract_z
In1 0.000 0.000 0.000
I1 0.500 0.500 0.500
N1 0.000 0.500 0.500
F1 0.500 0.500 0.000
```